Here is a relaxed structure of Zr6Ga2Cu from the Alexandria database. Energies are from PBE.

```
data_Zr6Ga2Cu
_chemical_formula_sum 'Zr12 Ga4 Cu2'
_cell_length_a 5.335
_cell_length_b 7.895
_cell_length_c 10.047
_cell_angle_alpha 90.00
_cell_angle_beta 118.39
_cell_angle_gamma 90.00
_symmetry_space_group_name_H-M 'P 1'
_symmetry_Int_Tables_number 1
loop_
_symmetry_equiv_pos_as_xyz
'x,y,z'
loop_
_atom_site_label
_atom_site_type_symbol
_atom_site_fract_x
_atom_site_fract_y
_atom_site_fract_z
_atom_site_occupancy
Zr1 Zr 0.027 0.169 0.434 1
Zr2 Zr 0.027 0.331 0.934 1
Zr3 Zr 0.361 0.679 0.438 1
Zr4 Zr 0.361 0.821 0.938 1
Zr5 Zr 0.399 0.028 0.300 1
Zr6 Zr 0.399 0.472 0.800 1
Zr7 Zr 0.601 0.528 0.200 1
Zr8 Zr 0.601 0.972 0.700 1
Zr9 Zr 0.639 0.179 0.062 1
Zr10 Zr 0.639 0.321 0.562 1
Zr11 Zr 0.973 0.669 0.066 1
Zr12 Zr 0.973 0.831 0.566 1
Ga1 Ga 0.170 0.127 0.752 1
Ga2 Ga 0.170 0.373 0.252 1
Ga3 Ga 0.830 0.627 0.748 1
Ga4 Ga 0.830 0.873 0.248 1
Cu1 Cu 0.000 0.000 0.000 1
Cu2 Cu 0.000 0.500 0.500 1
```

DOS at the Fermi energy	18.96	states/eV per cell
energy	-7.02	eV/atom
symmetry	P2_1/c
ΔH_f (0 K)	-0.196	eV per atom
calculated density	6.69	g/cm³
total magnetic moment	0.0	Bohr magnetons per cell

***

Here is a relaxed structure of KTlS5 from the Alexandria database. Energies are from PBE.

```
data_KTlS5
_chemical_formula_sum 'K2 Tl2 S10'
_cell_length_a 6.914
_cell_length_b 7.595
_cell_length_c 9.332
_cell_angle_alpha 106.61
_cell_angle_beta 101.33
_cell_angle_gamma 101.76
_symmetry_space_group_name_H-M 'P 1'
_symmetry_Int_Tables_number 1
loop_
_symmetry_equiv_pos_as_xyz
'x,y,z'
loop_
_atom_site_label
_atom_site_type_symbol
_atom_site_fract_x
_atom_site_fract_y
_atom_site_fract_z
_atom_site_occupancy
K1 K 0.000 0.000 0.000 1
K2 K 0.000 0.500 0.500 1
Tl1 Tl 0.454 0.102 0.722 1
Tl2 Tl 0.546 0.898 0.278 1
S1 S 0.067 0.926 0.415 1
S2 S 0.146 0.489 0.167 1
S3 S 0.148 0.516 0.867 1
S4 S 0.265 0.150 0.392 1
S5 S 0.336 0.781 0.911 1
S6 S 0.664 0.219 0.089 1
S7 S 0.735 0.850 0.608 1
S8 S 0.852 0.484 0.133 1
S9 S 0.854 0.511 0.833 1
S10 S 0.933 0.074 0.585 1
```

raw formation energy	-0.32	eV per atom
energy	-3.76	eV/atom
symmetry	P-1
calculated density	3.03	g/cm³
total magnetic moment	0.0	Bohr magnetons per cell

***

Here is a relaxed structure of Y3TlNi from the Alexandria database. Energies are from PBE.

```
data_Y3TlNi
_chemical_formula_sum 'Y6 Tl2 Ni2'
_cell_length_a 8.859
_cell_length_b 8.859
_cell_length_c 3.825
_cell_angle_alpha 90.00
_cell_angle_beta 90.00
_cell_angle_gamma 110.97
_symmetry_space_group_name_H-M 'P 1'
_symmetry_Int_Tables_number 1
loop_
_symmetry_equiv_pos_as_xyz
'x,y,z'
loop_
_atom_site_label
_atom_site_type_symbol
_atom_site_fract_x
_atom_site_fract_y
_atom_site_fract_z
_atom_site_occupancy
Y1 Y 0.175 0.420 0.500 1
Y2 Y 0.185 0.815 0.000 1
Y3 Y 0.420 0.175 0.500 1
Y4 Y 0.580 0.825 0.500 1
Y5 Y 0.815 0.185 0.000 1
Y6 Y 0.825 0.580 0.500 1
Tl1 Tl 0.000 0.000 0.500 1
Tl2 Tl 0.500 0.500 0.000 1
Ni1 Ni 0.000 0.500 0.000 1
Ni2 Ni 0.500 0.000 0.000 1
```

DOS at the Fermi energy	11.91	states/eV per cell
energy	-5.74	eV/atom
symmetry	Cmmm
ΔH_f (0 K)	-0.231	eV per atom
calculated density	6.28	g/cm³
total magnetic moment	0.0	Bohr magnetons per cell

***

Here is a relaxed structure of FeP2Br from the Alexandria database. Energies are from PBE.

```
data_FeP2Br
_chemical_formula_sum 'Fe1 P2 Br1'
_cell_length_a 3.567
_cell_length_b 4.219
_cell_length_c 5.423
_cell_angle_alpha 90.00
_cell_angle_beta 107.21
_cell_angle_gamma 90.00
_symmetry_space_group_name_H-M 'P 1'
_symmetry_Int_Tables_number 1
loop_
_symmetry_equiv_pos_as_xyz
'x,y,z'
loop_
_atom_site_label
_atom_site_type_symbol
_atom_site_fract_x
_atom_site_fract_y
_atom_site_fract_z
_atom_site_occupancy
Fe1 Fe 0.000 0.000 0.000 1
P1 P 0.312 0.500 0.135 1
P2 P 0.688 0.500 0.865 1
Br1 Br 0.000 0.000 0.500 1
```

raw formation energy	0.17	eV per atom
DOS at the Fermi energy	4.21	states/eV per cell
energy	-5.06	eV/atom
symmetry	P2/m
calculated density	4.21	g/cm³
total magnetic moment	3.0	Bohr magnetons per cell

***

Here is a relaxed structure of Na3CuO3 from the Alexandria database. Energies are from PBE.

```
data_Na3CuO3
_chemical_formula_sum 'Na36 Cu12 O36'
_cell_length_a 8.217
_cell_length_b 8.217
_cell_length_c 16.510
_cell_angle_alpha 90.00
_cell_angle_beta 90.00
_cell_angle_gamma 95.75
_symmetry_space_group_name_H-M 'P 1'
_symmetry_Int_Tables_number 1
loop_
_symmetry_equiv_pos_as_xyz
'x,y,z'
loop_
_atom_site_label
_atom_site_type_symbol
_atom_site_fract_x
_atom_site_fract_y
_atom_site_fract_z
_atom_site_occupancy
Na1 Na 0.018 0.662 0.685 1
Na2 Na 0.020 0.374 0.570 1
Na3 Na 0.025 0.975 0.780 1
Na4 Na 0.126 0.480 0.930 1
Na5 Na 0.162 0.518 0.185 1
Na6 Na 0.167 0.333 0.750 1
Na7 Na 0.172 0.828 0.280 1
Na8 Na 0.177 0.230 0.087 1
Na9 Na 0.230 0.177 0.913 1
Na10 Na 0.270 0.323 0.413 1
Na11 Na 0.323 0.270 0.587 1
Na12 Na 0.328 0.672 0.780 1
Na13 Na 0.333 0.167 0.250 1
Na14 Na 0.338 0.982 0.685 1
Na15 Na 0.374 0.020 0.430 1
Na16 Na 0.475 0.525 0.280 1
Na17 Na 0.480 0.126 0.070 1
Na18 Na 0.482 0.838 0.185 1
Na19 Na 0.518 0.162 0.815 1
Na20 Na 0.520 0.874 0.930 1
Na21 Na 0.525 0.475 0.720 1
Na22 Na 0.626 0.980 0.570 1
Na23 Na 0.662 0.018 0.315 1
Na24 Na 0.667 0.833 0.750 1
Na25 Na 0.672 0.328 0.220 1
Na26 Na 0.677 0.730 0.413 1
Na27 Na 0.730 0.677 0.587 1
Na28 Na 0.770 0.823 0.087 1
Na29 Na 0.823 0.770 0.913 1
Na30 Na 0.828 0.172 0.720 1
Na31 Na 0.833 0.667 0.250 1
Na32 Na 0.838 0.482 0.815 1
Na33 Na 0.874 0.520 0.070 1
Na34 Na 0.975 0.025 0.220 1
Na35 Na 0.980 0.626 0.430 1
Na36 Na 0.982 0.338 0.315 1
Cu1 Cu 0.001 0.999 0.416 1
Cu2 Cu 0.152 0.848 0.078 1
Cu3 Cu 0.172 0.828 0.909 1
Cu4 Cu 0.328 0.672 0.409 1
Cu5 Cu 0.348 0.652 0.578 1
Cu6 Cu 0.499 0.501 0.916 1
Cu7 Cu 0.501 0.499 0.084 1
Cu8 Cu 0.652 0.348 0.422 1
Cu9 Cu 0.672 0.328 0.591 1
Cu10 Cu 0.828 0.172 0.091 1
Cu11 Cu 0.848 0.152 0.922 1
Cu12 Cu 0.999 0.001 0.584 1
O1 O 0.018 0.741 0.154 1
O2 O 0.049 0.724 0.994 1
O3 O 0.055 0.697 0.832 1
O4 O 0.111 0.127 0.661 1
O5 O 0.116 0.116 0.500 1
O6 O 0.127 0.111 0.339 1
O7 O 0.197 0.555 0.332 1
O8 O 0.224 0.549 0.494 1
O9 O 0.241 0.518 0.654 1
O10 O 0.259 0.982 0.154 1
O11 O 0.276 0.951 0.994 1
O12 O 0.303 0.945 0.832 1
O13 O 0.373 0.389 0.839 1
O14 O 0.384 0.384 0.000 1
O15 O 0.389 0.373 0.161 1
O16 O 0.445 0.803 0.332 1
O17 O 0.451 0.776 0.494 1
O18 O 0.482 0.759 0.654 1
O19 O 0.518 0.241 0.346 1
O20 O 0.549 0.224 0.506 1
O21 O 0.555 0.197 0.668 1
O22 O 0.611 0.627 0.839 1
O23 O 0.616 0.616 0.000 1
O24 O 0.627 0.611 0.161 1
O25 O 0.697 0.055 0.168 1
O26 O 0.724 0.049 0.006 1
O27 O 0.741 0.018 0.846 1
O28 O 0.759 0.482 0.346 1
O29 O 0.776 0.451 0.506 1
O30 O 0.803 0.445 0.668 1
O31 O 0.873 0.889 0.661 1
O32 O 0.884 0.884 0.500 1
O33 O 0.889 0.873 0.339 1
O34 O 0.945 0.303 0.168 1
O35 O 0.951 0.276 0.006 1
O36 O 0.982 0.259 0.846 1
```

raw formation energy	-1.15	eV per atom
energy	-4.42	eV/atom
symmetry	Cmce
calculated density	3.24	g/cm³
total magnetic moment	0.0	Bohr magnetons per cell

***

Here is a relaxed structure of Pm2Nd3Ho from the Alexandria database. Energies are from PBE.

```
data_Pm2Nd3Ho
_chemical_formula_sum 'Pm4 Nd6 Ho2'
_cell_length_a 8.966
_cell_length_b 8.966
_cell_length_c 8.966
_cell_angle_alpha 101.59
_cell_angle_beta 95.84
_cell_angle_gamma 134.22
_symmetry_space_group_name_H-M 'P 1'
_symmetry_Int_Tables_number 1
loop_
_symmetry_equiv_pos_as_xyz
'x,y,z'
loop_
_atom_site_label
_atom_site_type_symbol
_atom_site_fract_x
_atom_site_fract_y
_atom_site_fract_z
_atom_site_occupancy
Pm1 Pm 0.197 0.245 0.442 1
Pm2 Pm 0.303 0.745 0.048 1
Pm3 Pm 0.697 0.255 0.952 1
Pm4 Pm 0.803 0.755 0.558 1
Nd1 Nd 0.015 0.750 0.265 1
Nd2 Nd 0.250 0.250 0.000 1
Nd3 Nd 0.485 0.750 0.735 1
Nd4 Nd 0.515 0.250 0.265 1
Nd5 Nd 0.750 0.750 0.000 1
Nd6 Nd 0.985 0.250 0.735 1
Ho1 Ho 0.000 0.500 0.500 1
Ho2 Ho 0.500 0.000 0.500 1
```

DOS at the Fermi energy	20.91	states/eV per cell
energy	-4.18	eV/atom
symmetry	Ibam
ΔH_f (0 K)	0.553	eV per atom
calculated density	6.21	g/cm³
total magnetic moment	0.0	Bohr magnetons per cell

***

Here is a relaxed structure of Pm5Te5N from the Alexandria database. Energies are from PBE.

```
data_Pm5Te5N
_chemical_formula_sum 'Pm5 Te5 N1'
_cell_length_a 7.454
_cell_length_b 7.454
_cell_length_c 8.574
_cell_angle_alpha 107.67
_cell_angle_beta 107.67
_cell_angle_gamma 48.88
_symmetry_space_group_name_H-M 'P 1'
_symmetry_Int_Tables_number 1
loop_
_symmetry_equiv_pos_as_xyz
'x,y,z'
loop_
_atom_site_label
_atom_site_type_symbol
_atom_site_fract_x
_atom_site_fract_y
_atom_site_fract_z
_atom_site_occupancy
Pm1 Pm 0.000 0.000 0.000 1
Pm2 Pm 0.351 0.351 0.140 1
Pm3 Pm 0.362 0.362 0.720 1
Pm4 Pm 0.638 0.638 0.280 1
Pm5 Pm 0.649 0.649 0.860 1
Te1 Te 0.157 0.157 0.809 1
Te2 Te 0.178 0.178 0.338 1
Te3 Te 0.500 0.500 0.500 1
Te4 Te 0.822 0.822 0.662 1
Te5 Te 0.843 0.843 0.191 1
N1 N 0.500 0.500 0.000 1
```

raw formation energy	-1.32	eV per atom
DOS at the Fermi energy	4.78	states/eV per cell
energy	-5.67	eV/atom
symmetry	C2/m
calculated density	6.76	g/cm³
total magnetic moment	0.0	Bohr magnetons per cell

***

Here is a relaxed structure of Pa2Pd9Pb from the Alexandria database. Energies are from PBE.

```
data_Pa2Pd9Pb
_chemical_formula_sum 'Pa2 Pd9 Pb1'
_cell_length_a 4.164
_cell_length_b 4.164
_cell_length_c 12.354
_cell_angle_alpha 90.00
_cell_angle_beta 90.00
_cell_angle_gamma 90.00
_symmetry_space_group_name_H-M 'P 1'
_symmetry_Int_Tables_number 1
loop_
_symmetry_equiv_pos_as_xyz
'x,y,z'
loop_
_atom_site_label
_atom_site_type_symbol
_atom_site_fract_x
_atom_site_fract_y
_atom_site_fract_z
_atom_site_occupancy
Pa1 Pa 0.000 0.000 0.171 1
Pa2 Pa 0.000 0.000 0.829 1
Pd1 Pd 0.000 0.500 0.000 1
Pd2 Pd 0.000 0.500 0.326 1
Pd3 Pd 0.000 0.500 0.674 1
Pd4 Pd 0.500 0.000 0.000 1
Pd5 Pd 0.500 0.000 0.326 1
Pd6 Pd 0.500 0.000 0.674 1
Pd7 Pd 0.500 0.500 0.164 1
Pd8 Pd 0.500 0.500 0.500 1
Pd9 Pd 0.500 0.500 0.836 1
Pb1 Pb 0.000 0.000 0.500 1
```

DOS at the Fermi energy	11.22	states/eV per cell
energy	-6.39	eV/atom
symmetry	P4/mmm
ΔH_f (0 K)	-0.600	eV per atom
calculated density	12.62	g/cm³
total magnetic moment	1.1	Bohr magnetons per cell